[1]
Material: MnCdO2
Method: DFT, PBE with a Hubbard U
State: optimized geometry

Calculated values
E, eV/atom: -5.875

Cell lengths 4.658, 4.658, 5.698 Å; angles 65.88, 65.88, 90.00 degrees
Site moments in Bohr magnetons follow the coordinates.
Atoms (fractional coordinates):
O: 0.738 0.738 0.525  0.07
O: 0.488 0.988 0.025  0.06
O: 0.012 0.512 0.975  0.07
O: 0.262 0.262 0.475  0.06
Mn: 0.250 0.750 0.500  4.64
Mn: 0.500 0.500 0.000  4.64
Cd: 0.000 0.000 0.000  0.01
Cd: 0.750 0.250 0.500  0.01

---

[2]
Material: MnCdO2
Method: DFT, PBE with a Hubbard U
State: optimized geometry

Calculated values
E, eV/atom: -5.763

Cell lengths 3.207, 3.207, 5.988 Å; angles 74.47, 74.47, 59.98 degrees
Site moments in Bohr magnetons follow the coordinates.
Atoms (fractional coordinates):
O: 0.088 0.088 0.736  0.06
O: 0.246 0.246 0.263  0.06
Mn: 0.499 0.499 0.504  4.61
Cd: 0.668 0.668 0.997  0.02

---

[3]
Material: MnCdO2
Method: DFT, PBE with a Hubbard U
State: optimized geometry

Calculated values
E, eV/atom: -5.803

Cell lengths 5.763, 3.294, 11.007 Å; angles 90.00, 90.00, 90.00 degrees
Site moments in Bohr magnetons follow the coordinates.
Atoms (fractional coordinates):
O: 0.224 0.750 0.500  0.07
O: 0.776 0.250 0.500  0.07
O: 0.276 0.250 0.000  0.07
O: 0.724 0.750 0.000  0.07
O: 0.391 0.250 0.731  0.05
O: 0.109 0.750 0.231  0.05
O: 0.609 0.750 0.269  0.05
O: 0.891 0.250 0.769  0.05
Mn: 0.899 0.750 0.388  4.57
Mn: 0.399 0.750 0.112  4.58
Mn: 0.101 0.250 0.612  4.57
Mn: 0.601 0.250 0.888  4.58
Cd: 0.400 0.250 0.367  0.02
Cd: 0.100 0.750 0.867  0.02
Cd: 0.900 0.250 0.133  0.02
Cd: 0.600 0.750 0.633  0.02

---

[4]
Material: MnCdO2
Method: DFT, PBE with a Hubbard U
State: optimized geometry

Calculated values
E, eV/atom: -5.784

Cell lengths 12.213, 6.490, 6.490 Å; angles 89.76, 107.15, 72.85 degrees
Site moments in Bohr magnetons follow the coordinates.
Atoms (fractional coordinates):
O: 0.196 0.798 0.538  0.05
O: 0.250 0.275 0.775  0.04
O: 0.446 0.835 0.799  0.05
O: 0.304 0.038 0.298  0.05
O: 0.054 0.299 0.335  0.05
O: 0.696 0.962 0.702  0.05
O: 0.804 0.202 0.462  0.05
O: 0.250 0.629 0.129  0.04
O: 0.554 0.165 0.201  0.05
O: 0.946 0.701 0.665  0.05
O: 0.469 0.346 0.606  0.05
O: 0.969 0.894 0.154  0.05
O: 0.750 0.371 0.871  0.04
O: 0.531 0.654 0.394  0.05
O: 0.031 0.106 0.846  0.05
O: 0.750 0.725 0.225  0.04
Mn: 0.122 0.020 0.179  4.60
Mn: 0.871 0.890 0.359  4.57
Mn: 0.878 0.980 0.821  4.60
Mn: 0.629 0.859 0.390  4.57
Mn: 0.622 0.321 0.480  4.61
Mn: 0.378 0.679 0.520  4.61
Mn: 0.371 0.141 0.610  4.57
Mn: 0.129 0.110 0.641  4.57
Cd: 0.143 0.626 0.777  0.02
Cd: 0.886 0.425 0.709  0.03
Cd: 0.357 0.277 0.126  0.02
Cd: 0.386 0.791 0.075  0.03
Cd: 0.857 0.374 0.223  0.02
Cd: 0.114 0.575 0.291  0.03
Cd: 0.614 0.209 0.925  0.03
Cd: 0.643 0.723 0.874  0.02

---

[5]
Material: MnCd4O5
Method: DFT, PBE with a Hubbard U
State: optimized geometry

Calculated values
Excess energy over the best structure of this formula in the dataset, eV per formula unit: 0.098

Cell lengths 3.348, 3.348, 12.076 Å; angles 97.97, 97.97, 90.00 degrees
Site moments in Bohr magnetons follow the coordinates.
Atoms (fractional coordinates):
O: 0.905 0.905 0.810  0.02
O: 0.500 0.500 0.000  0.05
O: 0.095 0.095 0.190  0.02
O: 0.699 0.699 0.399  0.01
O: 0.301 0.301 0.601  0.01
Mn: 0.000 0.000 0.000  4.64
Cd: 0.801 0.801 0.603  0.00
Cd: 0.402 0.402 0.804  0.00
Cd: 0.199 0.199 0.397  0.00
Cd: 0.598 0.598 0.196  0.00

---

[6]
Material: MnCdO2
Method: DFT, PBE with a Hubbard U
State: optimized geometry

Calculated values
E, eV/atom: -5.762

Cell lengths 8.269, 2.953, 10.746 Å; angles 90.00, 90.00, 90.00 degrees
Site moments in Bohr magnetons follow the coordinates.
Atoms (fractional coordinates):
O: 0.625 0.250 0.554  -0.02
O: 0.125 0.250 0.946  -0.02
O: 0.875 0.750 0.054  -0.02
O: 0.400 0.250 0.719  -0.05
O: 0.900 0.250 0.781  -0.05
O: 0.375 0.750 0.446  -0.02
O: 0.600 0.750 0.281  -0.05
O: 0.100 0.750 0.219  -0.05
Mn: 0.001 0.250 0.131  3.92
Mn: 0.501 0.250 0.369  3.92
Mn: 0.499 0.750 0.631  3.92
Mn: 0.999 0.750 0.869  3.92
Cd: 0.893 0.250 0.576  0.01
Cd: 0.107 0.750 0.424  0.01
Cd: 0.393 0.250 0.924  0.01
Cd: 0.607 0.750 0.076  0.01

---

[7]
Material: MnCdO2
Method: DFT, PBE with a Hubbard U
State: optimized geometry

Calculated values
E, eV/atom: -5.508

Cell lengths 6.411, 6.411, 6.411 Å; angles 31.06, 31.06, 31.06 degrees
Site moments in Bohr magnetons follow the coordinates.
Atoms (fractional coordinates):
O: 0.101 0.101 0.101  0.01
O: 0.899 0.899 0.899  0.01
Cd: 0.500 0.500 0.500  0.01
Mn: 0.000 0.000 0.000  4.38

---

[8]
Material: Mn2CdO
Method: DFT, PBE with a Hubbard U
State: optimized geometry

Calculated values
Excess energy over the best structure of this formula in the dataset, eV per formula unit: 0.000

Cell lengths 6.318, 6.318, 5.902 Å; angles 57.64, 57.64, 90.00 degrees
Site moments in Bohr magnetons follow the coordinates.
Atoms (fractional coordinates):
Mn: 0.231 0.625 0.250  4.58
Mn: 0.875 0.769 0.750  4.56
Mn: 0.375 0.481 0.750  4.57
Mn: 0.519 0.125 0.250  4.58
Cd: 0.750 0.250 0.500  0.00
Cd: 0.000 0.000 0.000  0.00
O: 0.500 0.500 0.000  0.09
O: 0.250 0.750 0.500  0.09

---

[9]
Material: MnCdO2
Method: DFT, PBE with a Hubbard U
State: optimized geometry

Calculated values
E, eV/atom: -5.868

Cell lengths 3.532, 4.974, 7.079 Å; angles 90.00, 90.00, 90.00 degrees
Site moments in Bohr magnetons follow the coordinates.
Atoms (fractional coordinates):
Mn: 0.201 0.855 0.227  4.59
Mn: 0.701 0.355 0.989  4.59
O: 0.201 0.126 0.999  0.06
O: 0.701 0.626 0.217  0.06
O: 0.201 0.089 0.470  0.03
O: 0.701 0.589 0.746  0.03
Cd: 0.201 0.863 0.741  0.02
Cd: 0.701 0.363 0.475  0.02

---

[10]
Material: MnCd2O3
Method: DFT, PBE with a Hubbard U
State: optimized geometry

Calculated values
Excess energy over the best structure of this formula in the dataset, eV per formula unit: 0.024

Cell lengths 5.747, 5.747, 5.753 Å; angles 99.63, 99.63, 119.98 degrees
Site moments in Bohr magnetons follow the coordinates.
Atoms (fractional coordinates):
O: 0.600 0.933 0.761  0.04
O: 0.255 0.242 0.766  0.04
O: 0.067 0.400 0.239  0.04
O: 0.909 0.588 0.766  0.04
O: 0.758 0.745 0.234  0.04
O: 0.412 0.091 0.234  0.04
Mn: 0.001 0.999 0.000  4.62
Mn: 0.666 0.334 0.000  4.62
Cd: 0.168 0.832 0.500  0.02
Cd: 0.833 0.167 0.500  0.02
Cd: 0.499 0.501 0.500  0.02
Cd: 0.333 0.667 0.000  0.01

---

[11]
Material: MnCdO2
Method: DFT, PBE with a Hubbard U
State: optimized geometry

Calculated values
E, eV/atom: -5.774

Cell lengths 8.374, 4.535, 3.012 Å; angles 89.99, 90.01, 105.46 degrees
Site moments in Bohr magnetons follow the coordinates.
Atoms (fractional coordinates):
O: 0.362 0.169 0.939  0.02
O: 0.207 0.593 0.439  0.02
O: 0.033 0.007 0.939  -0.09
O: 0.535 0.755 0.439  -0.09
Cd: 0.938 0.461 0.939  0.01
Cd: 0.631 0.301 0.439  0.01
Mn: 0.190 0.084 0.439  4.03
Mn: 0.379 0.677 0.939  4.03

---

[12]
Material: Mn2Cd2O5
Method: DFT, PBE with a Hubbard U
State: optimized geometry

Calculated values
E, eV/atom: -5.736

Cell lengths 5.712, 7.396, 6.449 Å; angles 124.99, 90.00, 90.00 degrees
Site moments in Bohr magnetons follow the coordinates.
Atoms (fractional coordinates):
Cd: 0.000 0.786 0.572  0.02
Cd: 0.500 0.714 0.428  0.02
Cd: 0.500 0.286 0.572  0.02
Cd: 0.000 0.214 0.428  0.02
O: 0.095 0.176 0.747  -0.08
O: 0.905 0.824 0.253  -0.08
O: 0.405 0.930 0.253  -0.08
O: 0.595 0.070 0.747  -0.08
O: 0.595 0.324 0.253  -0.08
O: 0.095 0.430 0.253  -0.08
O: 0.000 0.000 0.000  0.12
O: 0.500 0.500 0.000  0.12
O: 0.405 0.676 0.747  -0.08
O: 0.905 0.570 0.747  -0.08
Mn: 0.340 0.243 0.000  3.94
Mn: 0.160 0.743 0.000  3.94
Mn: 0.840 0.257 0.000  3.94
Mn: 0.660 0.757 0.000  3.94

---

[13]
Material: MnCdO2
Method: DFT, PBE with a Hubbard U
State: optimized geometry

Calculated values
E, eV/atom: -5.559

Cell lengths 11.048, 11.048, 3.306 Å; angles 90.00, 90.00, 164.55 degrees
Site moments in Bohr magnetons follow the coordinates.
Atoms (fractional coordinates):
Cd: 0.944 0.056 0.750  0.01
Cd: 0.056 0.944 0.250  0.01
O: 0.121 0.879 0.750  -0.06
O: 0.879 0.121 0.250  -0.06
O: 0.214 0.786 0.250  -0.23
O: 0.786 0.214 0.750  -0.23
Mn: 0.307 0.693 0.250  4.31
Mn: 0.693 0.307 0.750  4.31

---

[14]
Material: Mn3CdO
Method: DFT, PBE with a Hubbard U
State: optimized geometry

Calculated values
Excess energy over the best structure of this formula in the dataset, eV per formula unit: 7.295

Cell lengths 5.174, 5.174, 5.174 Å; angles 90.00, 90.00, 90.00 degrees
Site moments in Bohr magnetons follow the coordinates.
Atoms (fractional coordinates):
Cd: 0.000 0.000 0.000  -0.13
Mn: 0.500 0.000 0.000  4.51
Mn: 0.000 0.000 0.500  4.63
Mn: 0.000 0.500 0.000  4.58
O: 0.500 0.500 0.500  -0.66

---

[15]
Material: MnCdO2
Method: DFT, PBE with a Hubbard U
State: optimized geometry

Calculated values
E, eV/atom: -5.551

Cell lengths 5.898, 5.898, 5.066 Å; angles 54.40, 54.40, 90.00 degrees
Site moments in Bohr magnetons follow the coordinates.
Atoms (fractional coordinates):
O: 0.812 0.312 0.000  0.07
O: 0.688 0.812 0.000  0.07
O: 0.188 0.688 0.000  0.07
O: 0.312 0.188 0.000  0.07
Cd: 0.750 0.750 0.500  0.03
Cd: 0.250 0.250 0.500  0.03
Mn: 0.750 0.250 0.500  4.57
Mn: 0.250 0.750 0.500  4.57

---

[16]
Material: MnCd4O5
Method: DFT, PBE with a Hubbard U
State: optimized geometry

Calculated values
Excess energy over the best structure of this formula in the dataset, eV per formula unit: 0.000

Cell lengths 3.340, 3.340, 13.816 Å; angles 83.06, 83.06, 60.00 degrees
Site moments in Bohr magnetons follow the coordinates.
Atoms (fractional coordinates):
Cd: 0.398 0.398 0.807  0.01
Cd: 0.799 0.799 0.602  0.00
Cd: 0.201 0.201 0.398  0.00
Cd: 0.602 0.602 0.193  0.01
O: 0.304 0.304 0.088  0.05
O: 0.902 0.902 0.295  0.01
O: 0.098 0.098 0.705  0.01
O: 0.696 0.696 0.912  0.05
O: 0.500 0.500 0.500  0.00
Mn: 0.000 0.000 0.000  4.62

---

[17]
Material: MnCdO2
Method: DFT, PBE with a Hubbard U
State: optimized geometry

Calculated values
E, eV/atom: -5.813

Cell lengths 11.324, 6.232, 7.003 Å; angles 90.00, 151.00, 90.00 degrees
Site moments in Bohr magnetons follow the coordinates.
Atoms (fractional coordinates):
O: 0.784 0.644 0.604  0.05
O: 0.245 0.357 0.873  0.04
O: 0.216 0.356 0.396  0.05
O: 0.284 0.856 0.104  0.05
O: 0.255 0.857 0.627  0.04
O: 0.755 0.643 0.127  0.04
O: 0.745 0.143 0.373  0.04
O: 0.716 0.144 0.896  0.05
Mn: 0.404 0.656 0.054  4.59
Mn: 0.904 0.844 0.554  4.58
Mn: 0.596 0.344 0.946  4.59
Mn: 0.096 0.156 0.446  4.58
Cd: 0.550 0.130 0.375  0.03
Cd: 0.950 0.630 0.125  0.03
Cd: 0.450 0.870 0.625  0.03
Cd: 0.050 0.370 0.875  0.03

---

[18]
Material: Mn4Cd3O8
Method: DFT, PBE with a Hubbard U
State: optimized geometry

Calculated values
E, eV/atom: -6.145

Cell lengths 6.438, 6.493, 6.493 Å; angles 90.08, 119.62, 119.62 degrees
Site moments in Bohr magnetons follow the coordinates.
Atoms (fractional coordinates):
Mn: 0.000 0.000 0.500  4.66
Mn: 0.500 0.000 0.000  4.62
Mn: 0.000 0.000 0.000  3.31
Mn: 0.000 0.500 0.000  4.66
Cd: 0.500 0.500 0.500  0.03
Cd: 0.500 0.000 0.500  0.01
Cd: 0.500 0.500 0.000  0.01
O: 0.000 0.785 0.215  -0.02
O: 0.426 0.207 0.207  -0.03
O: 0.500 0.243 0.757  0.07
O: 0.574 0.793 0.793  -0.03
O: 0.500 0.757 0.243  0.07
O: 0.012 0.789 0.789  0.00
O: 0.000 0.215 0.785  -0.02
O: 0.988 0.211 0.211  0.00

---

[19]
Material: MnCd6O8
Method: DFT, PBE with a Hubbard U
State: optimized geometry

Calculated values
E, eV/atom: -4.605

Cell lengths 6.658, 6.658, 6.658 Å; angles 60.00, 60.00, 60.00 degrees
Site moments in Bohr magnetons follow the coordinates.
Atoms (fractional coordinates):
O: 0.750 0.750 0.750  0.01
O: 0.790 0.790 0.210  -0.06
O: 0.790 0.210 0.790  -0.06
O: 0.250 0.250 0.250  0.01
O: 0.790 0.210 0.210  -0.06
O: 0.210 0.790 0.790  -0.06
O: 0.210 0.210 0.790  -0.06
O: 0.210 0.790 0.210  -0.06
Cd: 0.000 0.000 0.500  0.01
Cd: 0.000 0.500 0.000  0.01
Cd: 0.500 0.000 0.000  0.01
Cd: 0.500 0.500 0.000  0.01
Cd: 0.500 0.000 0.500  0.01
Cd: 0.000 0.500 0.500  0.01
Mn: 0.000 0.000 0.000  3.27

---

[20]
Material: MnCdO2
Method: DFT, PBE with a Hubbard U
State: optimized geometry

Calculated values
E, eV/atom: -5.886

Cell lengths 5.698, 3.283, 3.283 Å; angles 119.98, 106.76, 73.24 degrees
Site moments in Bohr magnetons follow the coordinates.
Atoms (fractional coordinates):
Mn: 0.500 0.500 0.500  4.62
Cd: 0.000 0.000 0.000  0.03
O: 0.730 0.756 0.244  0.06
O: 0.270 0.244 0.756  0.06

---

[21]
Material: MnCd3O
Method: DFT, PBE with a Hubbard U
State: optimized geometry

Calculated values
Excess energy over the best structure of this formula in the dataset, eV per formula unit: 0.000

Cell lengths 4.683, 4.683, 4.683 Å; angles 90.00, 90.00, 90.00 degrees
Site moments in Bohr magnetons follow the coordinates.
Atoms (fractional coordinates):
Cd: 0.500 0.000 0.000  -0.03
Cd: 0.000 0.500 0.000  -0.05
Cd: 0.000 0.000 0.500  -0.06
O: 0.000 0.000 0.000  -0.06
Mn: 0.500 0.500 0.500  4.57

---

[22]
Material: MnCdO2
Method: DFT, PBE with a Hubbard U
State: optimized geometry

Calculated values
E, eV/atom: -5.859

Cell lengths 6.126, 6.126, 6.126 Å; angles 33.48, 33.48, 33.48 degrees
Site moments in Bohr magnetons follow the coordinates.
Atoms (fractional coordinates):
Mn: 0.999 0.999 0.999  4.60
O: 0.119 0.119 0.119  0.03
O: 0.631 0.631 0.631  0.06
Cd: 0.502 0.502 0.502  0.02